Here is a relaxed structure of PrCd2Cl8 from OQMD via LeMat-Bulk. Energies are from PBE.

a = 8.3167 Å, b = 8.3167 Å, c = 8.3167 Å
α = 135.09°, β = 135.09°, γ = 65.39°
Atoms (fractional coordinates):
Pr 0.0000 0.0000 0.0000
Cd 0.3117 0.3117 0.0000
Cd 0.6883 0.6883 0.0000
Cl 0.0105 0.3917 0.0592
Cl 0.0487 0.9895 0.3812
Cl 0.1715 0.5920 0.8936
Cl 0.3324 0.9513 0.9408
Cl 0.4080 0.3016 0.5796
Cl 0.6083 0.6676 0.6188
Cl 0.6984 0.2779 0.1064
Cl 0.7221 0.8285 0.4204

Computed properties:
* total magnetization: 1.0 μB per formula unit
* uncorrected energy: -3.214 eV per atom